Mn12Al17 (GGA-PBE, optimized geometry); E_form = -0.165 eV per atom
1.0
7.940 0.000 0.000
-2.647 7.486 0.000
-2.647 -3.743 6.483
Al Mn
17 12
Cartesian
2.849 -0.408 4.417
1.721 2.434 4.216
-0.925 -1.308 2.266
-1.335 2.550 4.417
0.203 0.287 4.628
-2.444 0.122 3.920
2.849 4.030 1.855
0.000 0.000 0.000
0.929 -2.263 3.920
2.776 0.000 0.000
0.203 3.864 2.562
3.576 1.479 2.562
0.929 4.527 0.000
-2.444 3.334 2.066
-0.925 2.617 0.000
3.958 2.385 0.000
3.958 -1.193 2.066
4.747 4.821 0.000
-3.855 1.780 5.267
-1.208 5.523 1.215
-3.855 3.672 4.175
2.963 -3.041 5.267
-0.546 1.332 2.308
2.963 6.082 0.000
4.747 -2.410 4.175
5.609 0.702 1.215
1.438 -0.071 2.308
-1.208 -1.709 5.390
1.438 2.034 1.092